VASP calculation (PBE) on a relaxed LiBiF3 crystal.

a = 4.7359 Å, b = 4.7359 Å, c = 4.7359 Å
α = 90.00°, β = 90.00°, γ = 90.00°
Element x y z (fractional)
F: 0.0000 0.0000 0.5000
Li: 0.5000 0.5000 0.5000
F: 0.0000 0.5000 0.0000
F: 0.5000 0.0000 0.0000
Bi: 0.0000 0.0000 0.0000

As for the uncorrected formation energy: -1778 meV per atom. For the magnetization, the calculation gives 0.00 μB per atom. The uncorrected energy is -20.3 eV/cell.